# 1
# PBE ZnAsRh2, relaxed
# * space-group type: R3m, No. 160
# * energy of formation: -5.58 kcal/mol of atoms
# * uncorrected energy: -5.3986 eV/atom
# * polymorph energy (0 for the lowest one): 0.100 eV/atom
data_ZnAsRh2
_cell_length_a 3.840
_cell_length_b 3.840
_cell_length_c 5.546
_cell_angle_alpha 69.75
_cell_angle_beta 69.75
_cell_angle_gamma 60.00
_space_group_name_H-M_alt 'P 1'
_space_group_IT_number 1
loop_
_space_group_symop_operation_xyz
'x,y,z'
loop_
_atom_site_label
_atom_site_type_symbol
_atom_site_fract_x
_atom_site_fract_y
_atom_site_fract_z
Zn1 Zn 0.496 0.496 0.511
Rh1 Rh 0.265 0.265 0.206
Rh2 Rh 0.068 0.068 0.795
As1 As 0.671 0.671 0.988

---

# 2
# PBE Ac14YHo, relaxed
# * space-group type: P4/mmm, No. 123
# * energy of formation: 0.66 kcal/mol of atoms
# * uncorrected energy: -4.2564 eV/atom
data_Ac14YHo
_cell_length_a 7.873
_cell_length_b 7.873
_cell_length_c 11.197
_cell_angle_alpha 90.00
_cell_angle_beta 90.00
_cell_angle_gamma 90.00
_space_group_name_H-M_alt 'P 1'
_space_group_IT_number 1
loop_
_space_group_symop_operation_xyz
'x,y,z'
loop_
_atom_site_label
_atom_site_type_symbol
_atom_site_fract_x
_atom_site_fract_y
_atom_site_fract_z
Ac1 Ac 0.625 0.375 0.244
Ac2 Ac 0.875 0.125 0.500
Ac3 Ac 0.125 0.375 0.244
Ac4 Ac 0.375 0.125 0.000
Ac5 Ac 0.625 0.875 0.756
Ac6 Ac 0.125 0.875 0.243
Ac7 Ac 0.375 0.125 0.500
Ac8 Ac 0.625 0.875 0.244
Ac9 Ac 0.625 0.375 0.756
Ac10 Ac 0.125 0.375 0.756
Ac11 Ac 0.125 0.875 0.757
Ac12 Ac 0.875 0.625 0.000
Ac13 Ac 0.375 0.625 0.500
Ac14 Ac 0.875 0.625 0.500
Y1 Y 0.375 0.625 0.000
Ho1 Ho 0.875 0.125 0.000

---

# 3
# PBE ZrInBr2, relaxed
# * space-group type: C2/m, No. 12
# * uncorrected energy: -4.3316 eV/atom
# * E_form (uncorrected): -0.6735 eV per atom
# * polymorph energy (0 for the lowest one): 0.087 eV/atom
data_ZrInBr2
_cell_length_a 7.512
_cell_length_b 7.512
_cell_length_c 5.554
_cell_angle_alpha 74.52
_cell_angle_beta 74.52
_cell_angle_gamma 25.36
_space_group_name_H-M_alt 'P 1'
_space_group_IT_number 1
loop_
_space_group_symop_operation_xyz
'x,y,z'
loop_
_atom_site_label
_atom_site_type_symbol
_atom_site_fract_x
_atom_site_fract_y
_atom_site_fract_z
In1 In 0.250 0.250 0.250
Br1 Br 0.405 0.405 0.570
Br2 Br 0.095 0.095 0.930
Zr1 Zr 0.750 0.750 0.750

---

Please write out number 1 again, unchanged.
# PBE ZnAsRh2, relaxed
# * space-group type: R3m, No. 160
# * energy of formation: -5.58 kcal/mol of atoms
# * uncorrected energy: -5.3986 eV/atom
# * polymorph energy (0 for the lowest one): 0.100 eV/atom
data_ZnAsRh2
_cell_length_a 3.840
_cell_length_b 3.840
_cell_length_c 5.546
_cell_angle_alpha 69.75
_cell_angle_beta 69.75
_cell_angle_gamma 60.00
_space_group_name_H-M_alt 'P 1'
_space_group_IT_number 1
loop_
_space_group_symop_operation_xyz
'x,y,z'
loop_
_atom_site_label
_atom_site_type_symbol
_atom_site_fract_x
_atom_site_fract_y
_atom_site_fract_z
Zn1 Zn 0.496 0.496 0.511
Rh1 Rh 0.265 0.265 0.206
Rh2 Rh 0.068 0.068 0.795
As1 As 0.671 0.671 0.988